# 1
Below is a geometry-optimized Th2TlSb structure, with properties calculated at the PBE-GGA level.

a = 7.8135 Å, b = 7.8135 Å, c = 7.8135 Å
α = 33.74°, β = 33.74°, γ = 33.74°
Closest atoms and distances in Å follow each position.
Fractional coordinates of all 4 atoms:
Th 0.2492 0.2492 0.2492  3 Tl 3.19, 3 Sb 3.21
Th 0.7508 0.7508 0.7508  3 Tl 3.19, 3 Sb 3.21
Tl 0.5000 0.5000 0.5000  6 Th 3.19
Sb 0.0000 0.0000 0.0000  6 Th 3.21

## Properties
The volume is 32.77 A^3/atom. For the raw total energy, the calculation gives -0.212 Ha/atom. As for the space-group type: R-3m (166). Its total magnetization is 0.0000 μB per atom. The uncorrected formation energy is -0.43 eV per atom. As for the mass density: 10.01 Mg/m³.



# 2
Below is a geometry-optimized NpBi2P2Pt7 structure, with properties calculated at the PBE-GGA level.

a = 15.2222 Å, b = 15.2222 Å, c = 15.2222 Å
α = 164.79°, β = 164.79°, γ = 21.58°
Closest atoms and distances in Å follow each position.
Fractional coordinates of all 12 atoms:
Np 0.0000 0.0000 0.0000  12 Pt 2.85-3.01
Bi 0.2108 0.2108 0.0000  5 Pt 2.83-2.89
Bi 0.7892 0.7892 0.0000  5 Pt 2.83-2.89
P 0.3818 0.3818 0.0000  5 Pt 2.28-2.40
P 0.6182 0.6182 0.0000  5 Pt 2.28-2.40
Pt 0.0749 0.5749 0.5000  2 P 2.40
Pt 0.3055 0.3055 0.0000  1 P 2.28
Pt 0.4251 0.9251 0.5000  2 P 2.40
Pt 0.5000 0.5000 0.0000  4 Np 2.85, 8 Pt 3.01
Pt 0.5749 0.0749 0.5000  2 P 2.40
Pt 0.6945 0.6945 0.0000  1 P 2.28
Pt 0.9251 0.4251 0.5000  2 P 2.40

## Properties
The volume is 20.24 A^3/atom. For the raw total energy, the calculation gives -0.244 Ha/atom. As for the space-group type: I4/mmm (139). Its total magnetization is 0.2804 μB per atom. The value obtained for the formation energy is -0.49 eV per atom. As for the mass density: 14.24 Mg/m³.



# 3
Below is a geometry-optimized K3PrOs2O9 structure, with properties calculated at the PBE-GGA level.

a = 5.8079 Å, b = 5.8079 Å, c = 7.2998 Å
α = 90.00°, β = 90.00°, γ = 120.00°
Closest atoms and distances in Å follow each position.
Fractional coordinates of all 15 atoms:
K 0.0000 0.0000 0.0000  12 O 2.85-2.90
K 0.3333 0.6667 0.6726  12 O 2.91-3.12
K 0.6667 0.3333 0.3274  12 O 2.91-3.12
Pr 0.0000 0.0000 0.5000  6 O 2.34
Os 0.3333 0.6667 0.1475  6 O 1.89-1.99
Os 0.6667 0.3333 0.8525  6 O 1.89-1.99
O 0.0000 0.5000 0.0000  2 Os 1.99
O 0.1814 0.3627 0.2997  1 Os 1.89
O 0.1814 0.8186 0.2997  1 Os 1.89
O 0.3627 0.1814 0.7003  1 Os 1.89
O 0.5000 0.0000 0.0000  2 Os 1.99
O 0.5000 0.5000 0.0000  2 Os 1.99
O 0.6373 0.8186 0.2997  1 Os 1.89
O 0.8186 0.1814 0.7003  1 Os 1.89
O 0.8186 0.6373 0.7003  1 Os 1.89

## Properties
The volume is 14.22 A^3/atom. For the raw total energy, the calculation gives -0.246 Ha/atom. As for the space-group type: P-3m1 (164). Its total magnetization is 0.0000 μB per atom. The uncorrected formation energy is -1.67 eV per atom. As for the mass density: 6.09 Mg/m³.



# 4
Below is a geometry-optimized Er3GeRh8 structure, with properties calculated at the PBE-GGA level.

a = 9.1476 Å, b = 9.1476 Å, c = 9.1476 Å
α = 33.62°, β = 33.62°, γ = 33.62°
Closest atoms and distances in Å follow each position.
Fractional coordinates of all 12 atoms:
Er 0.0000 0.0000 0.0000  12 Rh 2.99-3.17, 3 Ge 3.09
Er 0.1303 0.1303 0.1303  12 Rh 3.09-3.11, 4 Er 3.36-3.37
Er 0.5174 0.5174 0.5174  9 Rh 2.94-3.18
Ge 0.6482 0.6482 0.6482  3 Rh 2.70
Rh 0.0677 0.0677 0.5666  6 Rh 2.61-2.65
Rh 0.0677 0.5666 0.0677  6 Rh 2.61-2.65
Rh 0.0688 0.5667 0.5667  6 Rh 2.63-2.67, 1 Ge 2.70
Rh 0.3161 0.3161 0.3161  6 Rh 2.61-2.67
Rh 0.5666 0.0677 0.0677  6 Rh 2.61-2.65
Rh 0.5667 0.0688 0.5667  6 Rh 2.63-2.67, 1 Ge 2.70
Rh 0.5667 0.5667 0.0688  6 Rh 2.63-2.67, 1 Ge 2.70
Rh 0.8173 0.8173 0.8173  6 Rh 2.64

## Properties
The volume is 17.42 A^3/atom. For the raw total energy, the calculation gives -0.258 Ha/atom. As for the space-group type: R3m (160). Its total magnetization is 0.0000 μB per atom. The value obtained for the formation energy is -0.59 eV per atom. As for the mass density: 11.10 Mg/m³.



Number 1: DOS(E_F) 2.28 states/eV/f.u.. Number 2: DOS(E_F) 13.35 states/eV/f.u.. Number 3: DOS(E_F) 3.48 states/eV/f.u.. Number 4: DOS(E_F) 7.38 states/eV/f.u..